1.
Below is a relaxed Tb6YErSc2 crystal, with properties calculated at the PBE level.

Summary:
**Total moment**: 0.000 μB/cell
**ΔE_f**: 11.8 kJ/mol of atoms

a = 9.3603 Å, b = 8.6568 Å, c = 8.6568 Å
α = 117.91°, β = 93.58°, γ = 93.58°
Fractional coordinates of all 20 atoms:
Sc 0.0463 0.3063 0.1977
Sc 0.4537 0.8023 0.6937
Sc 0.5463 0.1977 0.3063
Sc 0.9537 0.6937 0.8023
Tb 0.8822 0.2951 0.5029
Tb 0.6824 0.0165 0.5613
Tb 0.4469 0.2426 0.8795
Tb 0.8176 0.4387 0.9835
Tb 0.0531 0.1205 0.7574
Tb 0.5531 0.7574 0.1205
Tb 0.6178 0.4971 0.7049
Tb 0.1824 0.5613 0.0165
Tb 0.3176 0.9835 0.4387
Tb 0.1178 0.7049 0.4971
Tb 0.3822 0.5029 0.2951
Tb 0.9469 0.8795 0.2426
Y 0.7500 0.0256 0.9744
Y 0.2500 0.9744 0.0256
Er 0.7500 0.5913 0.4087
Er 0.2500 0.4087 0.5913



2.
Below is a relaxed Sm5Dy4Tl crystal, with properties calculated at the PBE level.

Summary:
**Total moment**: 0.002 μB/cell
**Polymorph energy (0 for the lowest one)**: 0.0 meV/atom
**ΔE_f**: 2.6 kJ/mol of atoms

a = 4.1728 Å, b = 4.1728 Å, c = 18.2785 Å
α = 90.00°, β = 90.00°, γ = 90.00°
Fractional coordinates of all 10 atoms:
Dy 0.0000 0.0000 0.8034
Dy 0.0000 0.0000 0.1966
Dy 0.0000 0.0000 0.6018
Dy 0.0000 0.0000 0.3982
Sm 0.5000 0.5000 0.7033
Sm 0.5000 0.5000 0.2967
Sm 0.5000 0.5000 0.5000
Sm 0.5000 0.5000 0.0907
Sm 0.5000 0.5000 0.9093
Tl 0.0000 0.0000 0.0000



3.
Below is a relaxed CaPr4Y5 crystal, with properties calculated at the PBE level.

Summary:
**Total moment**: 0.000 μB/cell
**ΔE_f**: 6.8 kJ/mol of atoms

a = 5.6719 Å, b = 9.7672 Å, c = 9.6725 Å
α = 43.72°, β = 72.95°, γ = 73.12°
Fractional coordinates of all 10 atoms:
Y 0.6119 0.6273 0.1488
Y 0.3881 0.3727 0.8512
Y 0.0000 0.5000 0.5000
Y 0.7990 0.2055 0.1965
Y 0.2010 0.7945 0.8035
Ca 0.0000 0.0000 0.0000
Pr 0.1998 0.3027 0.2976
Pr 0.6119 0.1418 0.6345
Pr 0.8002 0.6973 0.7024
Pr 0.3881 0.8582 0.3655



4.
Below is a relaxed CaAsIBr2 crystal, with properties calculated at the PBE level.

Summary:
**Uncorrected formation energy**: 19 meV per atom
**Total moment**: 0.000 μB/cell
**Polymorph energy (0 for the lowest one)**: 454.8 meV/atom

a = 5.6637 Å, b = 5.6637 Å, c = 5.6190 Å
α = 90.00°, β = 90.00°, γ = 90.00°
Fractional coordinates of all 5 atoms:
Ca 0.5000 0.5000 0.5000
Br 0.5000 0.0000 0.0000
Br 0.0000 0.5000 0.0000
As 0.0000 0.0000 0.5000
I 0.0000 0.0000 0.0000



5.
Below is a relaxed MgSc crystal, with properties calculated at the PBE level.

Summary:
**Total moment**: 0.000 μB/cell
**ΔE_f**: 2.1 kJ/mol of atoms

a = 6.2123 Å, b = 8.8831 Å, c = 10.2463 Å
α = 90.00°, β = 90.00°, γ = 90.00°
Fractional coordinates of all 24 atoms:
Mg 0.2500 0.5776 0.8756
Mg 0.0000 0.7500 0.1249
Mg 0.5000 0.7500 0.1249
Mg 0.7500 0.4224 0.1244
Mg 0.7500 0.9224 0.8756
Mg 0.2500 0.0864 0.6285
Mg 0.7500 0.9136 0.3715
Mg 0.2500 0.5864 0.3715
Mg 0.5000 0.2500 0.8751
Mg 0.2500 0.0776 0.1244
Mg 0.7500 0.4136 0.6285
Mg 0.0000 0.2500 0.8751
Sc 0.2500 0.9225 0.3808
Sc 0.7500 0.0775 0.6192
Sc 0.7500 0.5921 0.8731
Sc 0.0000 0.7500 0.6231
Sc 0.5000 0.2500 0.3769
Sc 0.0000 0.2500 0.3769
Sc 0.2500 0.4225 0.6192
Sc 0.5000 0.7500 0.6231
Sc 0.7500 0.0921 0.1269
Sc 0.2500 0.9079 0.8731
Sc 0.2500 0.4079 0.1269
Sc 0.7500 0.5775 0.3808



6.
Below is a relaxed Cs3Rb7Au crystal, with properties calculated at the PBE level.

Summary:
**Total moment**: 0.000 μB/cell
**ΔE_f**: -4.0 kJ/mol of atoms

a = 8.8938 Å, b = 8.8938 Å, c = 13.8663 Å
α = 76.02°, β = 76.02°, γ = 109.44°
Fractional coordinates of all 11 atoms:
Rb 0.6355 0.9650 0.1483
Rb 0.6344 0.6344 0.6301
Rb 0.0269 0.0269 0.3022
Rb 0.0490 0.4462 0.8565
Rb 0.4462 0.0490 0.8565
Rb 0.9625 0.9625 0.8042
Rb 0.9650 0.6355 0.1483
Cs 0.4396 0.4396 0.0331
Cs 0.4947 0.1362 0.4748
Cs 0.1362 0.4947 0.4748
Au 0.0849 0.0849 0.0211



7.
Below is a relaxed AsBrCl2 crystal, with properties calculated at the PBE level.

Summary:
**Uncorrected formation energy**: -468 meV per atom
**Total moment**: 0.000 μB/cell
**Polymorph energy (0 for the lowest one)**: 151.5 meV/atom

a = 3.6901 Å, b = 7.1859 Å, c = 7.1802 Å
α = 43.33°, β = 90.00°, γ = 90.00°
Fractional coordinates of all 4 atoms:
Br 0.5000 0.7500 0.7500
Cl 0.0000 0.3800 0.3796
Cl 0.0000 0.1200 0.1204
As 0.5000 0.2500 0.2500



8.
Below is a relaxed CaPm2OsN4 crystal, with properties calculated at the PBE level.

Summary:
**Uncorrected formation energy**: -708 meV per atom
**Total moment**: 0.000 μB/cell

a = 3.5068 Å, b = 6.3619 Å, c = 11.9069 Å
α = 90.00°, β = 90.00°, γ = 106.00°
Fractional coordinates of all 16 atoms:
N 0.4243 0.8486 0.7500
N 0.7396 0.4792 0.6317
N 0.5757 0.1514 0.2500
N 0.7396 0.4792 0.8683
N 0.2604 0.5208 0.1317
N 0.0000 0.0000 0.0000
N 0.0000 0.0000 0.5000
N 0.2604 0.5208 0.3683
Ca 0.8683 0.7365 0.2500
Ca 0.1317 0.2635 0.7500
Pm 0.3685 0.7371 0.5338
Pm 0.6315 0.2629 0.0338
Pm 0.3685 0.7371 0.9662
Pm 0.6315 0.2629 0.4662
Os 0.8547 0.7095 0.7500
Os 0.1453 0.2905 0.2500



9.
Below is a relaxed TaCuMoAs2 crystal, with properties calculated at the PBE level.

Summary:
**Total moment**: 3.822 μB/cell
**ΔE_f**: 106.8 kJ/mol of atoms

a = 4.9168 Å, b = 4.7929 Å, c = 4.9168 Å
α = 90.00°, β = 90.00°, γ = 90.00°
Site moments in Bohr magnetons follow the coordinates.
Fractional coordinates of all 5 atoms:
As 0.5000 0.0000 0.0000  -0.05
As 0.0000 0.0000 0.5000  -0.09
Ta 0.0000 0.0000 0.0000  0.01
Cu 0.0000 0.5000 0.0000  0.00
Mo 0.5000 0.5000 0.5000  3.42



10.
Below is a relaxed LiFePt2 crystal, with properties calculated at the PBE level.

Summary:
**Total moment**: 3.476 μB/cell
**ΔE_f**: -37.2 kJ/mol of atoms

a = 2.7657 Å, b = 2.7657 Å, c = 7.2936 Å
α = 90.00°, β = 90.00°, γ = 89.99°
Site moments in Bohr magnetons follow the coordinates.
Fractional coordinates of all 4 atoms:
Li 0.5000 0.5000 0.7500  -0.01
Pt 0.0000 0.0000 0.4966  0.25
Pt 0.0000 0.0000 0.0034  0.25
Fe 0.5000 0.5000 0.2500  3.00



11.
Below is a relaxed SiPtSe2 crystal, with properties calculated at the PBE level.

Summary:
**Uncorrected formation energy**: 472 meV per atom
**Total moment**: 0.000 μB/cell

a = 3.0095 Å, b = 3.0095 Å, c = 8.7711 Å
α = 90.00°, β = 90.00°, γ = 113.93°
Fractional coordinates of all 4 atoms:
Pt 0.5000 0.5000 0.7500
Se 0.0000 0.0000 0.5125
Se 0.0000 0.0000 0.9875
Si 0.5000 0.5000 0.2500



12.
Below is a relaxed LaAl2I8 crystal, with properties calculated at the PBE level.

Summary:
**Uncorrected formation energy**: -839 meV per atom
**Total moment**: 0.899 μB/cell

a = 7.4149 Å, b = 9.1271 Å, c = 9.1271 Å
α = 73.06°, β = 82.82°, γ = 82.82°
Site moments in Bohr magnetons follow the coordinates.
Fractional coordinates of all 11 atoms:
I 0.2377 0.2891 0.9163  0.00
I 0.7623 0.0837 0.7109  0.00
I 0.2052 0.3650 0.3650  0.02
I 0.7948 0.6350 0.6350  0.02
I 0.7095 0.1884 0.1884  0.01
I 0.2377 0.9163 0.2891  0.00
I 0.2905 0.8116 0.8116  0.01
I 0.7623 0.7109 0.0837  0.00
Al 0.6535 0.8036 0.8036  0.04
Al 0.3465 0.1964 0.1964  0.04
La 0.0000 0.0000 0.0000  0.34